A plane-wave DFT calculation with meta-GGA SCAN was carried out for a crystal of FeNiBr2 relaxed with PBEsol.

a b c (Å): 3.3848 3.5074 7.1117
angles (deg): 104.28 103.77 90.00
Positions (direct):
Ni1 0.1979 0.6979 0.3959
Br1 0.7359 0.2359 0.4717
Br2 0.9894 0.9894 0.9788
Fe1 0.5768 0.5768 0.1535

SG: Imm2 (44)
Calculated total energy: -72.99 eV/cell
Theoretical density: 5.74 g/cm3
Spin magnetization: 4.0 μB per cell

A plane-wave DFT calculation with meta-GGA SCAN was carried out for a crystal of Fe2NiBr relaxed with PBEsol.

a b c (Å): 2.8604 4.4506 4.4506
angles (deg): 111.64 90.00 90.00
Positions (direct):
Br1 0.5000 0.5000 0.5000
Fe1 0.0000 0.0000 0.5000
Fe2 0.0000 0.5000 0.0000
Ni1 0.5000 0.0000 0.0000

SG: Cmmm (65)
Calculated total energy: -69.37 eV/cell
Theoretical density: 7.89 g/cm3
Spin magnetization: 6.8 μB per cell

A plane-wave DFT calculation with meta-GGA SCAN was carried out for a crystal of FeNiBr2 relaxed with PBEsol.

a b c (Å): 3.3082 3.3082 6.7399
angles (deg): 90.00 90.00 90.00
Positions (direct):
Fe1 0.0000 0.0000 0.5494
Ni1 0.5000 0.5000 0.7047
Br1 0.0000 0.0000 0.9008
Br2 0.5000 0.5000 0.3451

SG: P4mm (99)
Calculated total energy: -72.99 eV/cell
Theoretical density: 6.18 g/cm3
Spin magnetization: 4.0 μB per cell

A plane-wave DFT calculation with meta-GGA SCAN was carried out for a crystal of Fe3BrO relaxed with PBEsol.

a b c (Å): 4.3638 4.3638 4.3638
angles (deg): 90.00 90.00 90.00
Positions (direct):
Fe1 0.0000 0.5000 0.0000
Fe2 0.5000 0.0000 0.0000
Fe3 0.0000 0.0000 0.5000
Br1 0.0000 0.0000 0.0000
O1 0.5000 0.5000 0.5000

SG: Pm-3m (221)
Calculated total energy: -72.93 eV/cell
Theoretical density: 5.26 g/cm3
Spin magnetization: 9.0 μB per cell

Looking at raw formation energy for the records above, in order, we have 58.9; 629.5; 58.5; 1429.2 meV per atom.